Record 1
Compound: RbCa2CrCu
Source: Alexandria
Functional: GGA-PBEsol
Structure: optimized geometry

Properties
Symmetry: No. 123
Total DFT energy (no corrections) (hartree per atom): -0.1258
Density of states at the Fermi level (states/eV/f.u.): 3.765
Density (g/cm³): 2.896

Cell lengths 5.108, 5.618, 5.618 Å; angles 90.00, 90.00, 90.00 degrees
Sites, in units of the cell vectors:
1 Cr 0.500 0.000 0.000
2 Cu 0.000 0.000 0.000
3 Rb 0.500 0.500 0.500
4 Ca 0.000 0.500 0.000
5 Ca 0.000 0.000 0.500

---

Record 2
Compound: Ca2ZnCrCu
Source: Alexandria
Functional: GGA-PBEsol
Structure: optimized geometry

Properties
Symmetry: No. 123
Total DFT energy (no corrections) (hartree per atom): -0.1265
Density of states at the Fermi level (states/eV/f.u.): 3.268
Density (g/cm³): 3.244

Cell lengths 4.425, 5.496, 5.496 Å; angles 90.00, 90.00, 90.00 degrees
Sites, in units of the cell vectors:
1 Cr 0.500 0.500 0.500
2 Ca 0.000 0.500 0.000
3 Cu 0.500 0.000 0.000
4 Zn 0.000 0.000 0.000
5 Ca 0.000 0.000 0.500

---

Record 3
Compound: CaCr3F
Source: Alexandria
Functional: GGA-PBEsol
Structure: optimized geometry

Properties
E_form (uncorrected) (eV per atom): 0.57
Symmetry: No. 221
Total DFT energy (no corrections) (hartree per atom): -0.2346
Density of states at the Fermi level (states/eV/f.u.): 3.035
Density (g/cm³): 3.754

Cell lengths 4.565, 4.565, 4.565 Å; angles 90.00, 90.00, 90.00 degrees
Sites, in units of the cell vectors:
1 Cr 0.000 0.500 0.000
2 Cr 0.000 0.000 0.500
3 F 0.000 0.000 0.000
4 Ca 0.500 0.500 0.500
5 Cr 0.500 0.000 0.000

---

Record 4
Compound: CaCr2F12
Source: Alexandria
Functional: GGA-PBEsol
Structure: optimized geometry

Properties
E_form (uncorrected) (eV per atom): -2.58
Symmetry: No. 2
Total DFT energy (no corrections) (hartree per atom): -0.2069
Density of states at the Fermi level (states/eV/f.u.): 14.628
Density (g/cm³): 2.924

Cell lengths 5.135, 5.562, 8.852 Å; angles 106.07, 90.01, 118.34 degrees
Sites, in units of the cell vectors:
1 F 0.653 0.230 0.302
2 F 0.721 0.209 0.631
3 F 0.295 0.782 0.085
4 Cr 0.731 0.983 0.728
5 F 0.758 0.775 0.850
6 Cr 0.269 0.017 0.272
7 F 0.782 0.771 0.563
8 F 0.135 0.212 0.788
9 Ca 0.500 0.500 0.000
10 F 0.218 0.229 0.437
11 F 0.242 0.225 0.150
12 F 0.347 0.770 0.698
13 F 0.865 0.788 0.212
14 F 0.705 0.218 0.915
15 F 0.279 0.791 0.369

---

Record 5
Compound: Ca2CrIF
Source: Alexandria
Functional: GGA-PBEsol
Structure: optimized geometry

Properties
E_form (uncorrected) (eV per atom): -0.69
Symmetry: No. 123
Total DFT energy (no corrections) (hartree per atom): -0.1592
Density of states at the Fermi level (states/eV/f.u.): 4.169
Density (g/cm³): 3.715

Cell lengths 3.914, 5.635, 5.635 Å; angles 90.00, 90.00, 90.00 degrees
Sites, in units of the cell vectors:
1 Cr 0.500 0.000 0.000
2 I 0.500 0.500 0.500
3 Ca 0.000 0.500 0.000
4 F 0.000 0.000 0.000
5 Ca 0.000 0.000 0.500

---

Record 6
Compound: SrCaCrF7
Source: Alexandria
Functional: GGA-PBEsol
Structure: optimized geometry

Properties
E_form (uncorrected) (eV per atom): -3.43
Symmetry: No. 62
Total DFT energy (no corrections) (hartree per atom): -0.2280
Density of states at the Fermi level (states/eV/f.u.): 0.000
Density (g/cm³): 3.684

Cell lengths 7.280, 7.911, 9.790 Å; angles 90.00, 90.00, 90.00 degrees
Sites, in units of the cell vectors:
1 Ca 0.250 0.620 0.256
2 Cr 0.750 0.184 0.056
3 F 0.077 0.239 0.423
4 F 0.250 0.106 0.644
5 F 0.565 0.616 0.316
6 F 0.577 0.261 0.923
7 F 0.923 0.261 0.923
8 F 0.577 0.761 0.577
9 F 0.423 0.739 0.077
10 Sr 0.750 0.197 0.392
11 F 0.750 0.463 0.523
12 F 0.250 0.606 0.856
13 F 0.435 0.884 0.816
14 F 0.565 0.116 0.184
15 F 0.750 0.963 0.977
16 F 0.065 0.384 0.684
17 F 0.250 0.376 0.139
18 F 0.435 0.384 0.684
19 Cr 0.250 0.316 0.556
20 F 0.750 0.394 0.144
21 Sr 0.250 0.303 0.892
22 Sr 0.250 0.803 0.608
23 F 0.250 0.537 0.477
24 F 0.065 0.884 0.816
25 F 0.423 0.239 0.423
26 Cr 0.750 0.684 0.444
27 F 0.750 0.894 0.356
28 Ca 0.250 0.120 0.244
29 Ca 0.750 0.380 0.744
30 Ca 0.750 0.880 0.756
31 F 0.250 0.876 0.361
32 F 0.250 0.037 0.023
33 F 0.750 0.124 0.639
34 F 0.935 0.116 0.184
35 Sr 0.750 0.697 0.108
36 F 0.935 0.616 0.316
37 F 0.750 0.624 0.861
38 F 0.077 0.739 0.077
39 F 0.923 0.761 0.577
40 Cr 0.250 0.816 0.944

---

Record 7
Compound: CaCrFe2
Source: Alexandria
Functional: GGA-PBEsol
Structure: optimized geometry

Properties
Symmetry: No. 123
Total DFT energy (no corrections) (hartree per atom): -0.2436
Density of states at the Fermi level (states/eV/f.u.): 6.544
Density (g/cm³): 5.459

Cell lengths 3.877, 3.877, 4.123 Å; angles 90.00, 90.00, 90.00 degrees
Sites, in units of the cell vectors:
1 Fe 0.000 0.500 0.000
2 Cr 0.000 0.000 0.500
3 Ca 0.500 0.500 0.500
4 Fe 0.500 0.000 0.000

---

Record 8
Compound: Ca2CrFe
Source: Alexandria
Functional: GGA-PBEsol
Structure: optimized geometry

Properties
Symmetry: No. 44
Total DFT energy (no corrections) (hartree per atom): -0.1949
Excess energy over the best structure of this formula in the dataset (meV/atom): 0
Density of states at the Fermi level (states/eV/f.u.): 4.823
Density (g/cm³): 3.622

Cell lengths 3.479, 5.098, 5.756 Å; angles 116.28, 107.59, 90.00 degrees
Sites, in units of the cell vectors:
1 Ca 0.767 0.767 0.533
2 Ca 0.971 0.471 0.943
3 Fe 0.194 0.194 0.389
4 Cr 0.568 0.068 0.136

---

Record 9
Compound: Ca2CrFe
Source: Alexandria
Functional: GGA-PBEsol
Structure: optimized geometry

Properties
Symmetry: No. 216
Total DFT energy (no corrections) (hartree per atom): -0.1820
Excess energy over the best structure of this formula in the dataset (meV/atom): 352
Density of states at the Fermi level (states/eV/f.u.): 7.234
Density (g/cm³): 3.625

Cell lengths 4.957, 4.957, 4.957 Å; angles 60.00, 60.00, 60.00 degrees
Sites, in units of the cell vectors:
1 Ca 0.750 0.750 0.750
2 Cr 0.500 0.500 0.500
3 Fe 0.250 0.250 0.250
4 Ca 0.000 0.000 0.000

---

Record 10
Compound: Ca2CrFe
Source: Alexandria
Functional: GGA-PBEsol
Structure: optimized geometry

Properties
Symmetry: No. 123
Total DFT energy (no corrections) (hartree per atom): -0.1851
Excess energy over the best structure of this formula in the dataset (meV/atom): 268
Density of states at the Fermi level (states/eV/f.u.): 4.713
Density (g/cm³): 3.425

Cell lengths 3.372, 3.372, 8.019 Å; angles 90.00, 90.00, 90.00 degrees
Sites, in units of the cell vectors:
1 Cr 0.500 0.500 0.000
2 Fe 0.500 0.500 0.500
3 Ca 0.000 0.000 0.729
4 Ca 0.000 0.000 0.271

---

Record 11
Compound: CaCrFe2
Source: Alexandria
Functional: GGA-PBEsol
Structure: optimized geometry

Properties
Symmetry: No. 99
Total DFT energy (no corrections) (hartree per atom): -0.2578
Density of states at the Fermi level (states/eV/f.u.): 4.761
Density (g/cm³): 5.410

Cell lengths 3.021, 3.023, 6.847 Å; angles 90.00, 90.00, 90.00 degrees
Sites, in units of the cell vectors:
1 Cr 0.500 0.500 0.841
2 Fe 0.500 0.500 0.172
3 Ca 0.000 0.000 0.490
4 Fe 0.000 0.000 0.997

---

Record 12
Compound: Ca3CrFe
Source: Alexandria
Functional: GGA-PBEsol
Structure: optimized geometry

Properties
Symmetry: No. 221
Total DFT energy (no corrections) (hartree per atom): -0.1426
Density of states at the Fermi level (states/eV/f.u.): 6.986
Density (g/cm³): 2.390

Cell lengths 5.412, 5.412, 5.412 Å; angles 90.00, 90.00, 90.00 degrees
Sites, in units of the cell vectors:
1 Ca 0.500 0.000 0.000
2 Fe 0.500 0.500 0.500
3 Cr 0.000 0.000 0.000
4 Ca 0.000 0.000 0.500
5 Ca 0.000 0.500 0.000

---

Record 13
Compound: CaLaCrFeO6
Source: Alexandria
Functional: GGA-PBEsol
Structure: optimized geometry

Properties
E_form (uncorrected) (eV per atom): -2.42
Symmetry: No. 7
Total DFT energy (no corrections) (hartree per atom): -0.3026
Density of states at the Fermi level (states/eV/f.u.): 8.912
Density (g/cm³): 5.744

Cell lengths 5.384, 5.411, 7.598 Å; angles 90.00, 90.07, 90.00 degrees
Sites, in units of the cell vectors:
1 O 0.285 0.458 0.539
2 Ca 0.492 0.207 0.750
3 O 0.293 0.467 0.960
4 O 0.062 0.236 0.253
5 O 0.223 0.965 0.967
6 O 0.714 0.027 0.033
7 Cr 0.001 0.251 0.502
8 O 0.785 0.542 0.039
9 Fe 0.501 0.749 0.500
10 O 0.562 0.764 0.753
11 Cr 0.501 0.749 0.002
12 O 0.793 0.533 0.460
13 Fe 0.001 0.251 0.000
14 La 0.005 0.722 0.750
15 Ca 0.992 0.793 0.250
16 O 0.424 0.739 0.246
17 O 0.214 0.973 0.533
18 O 0.723 0.035 0.467
19 La 0.505 0.278 0.250
20 O 0.924 0.261 0.746

---

Record 14
Compound: Ca2NbCrFe
Source: Alexandria
Functional: GGA-PBEsol
Structure: optimized geometry

Properties
Symmetry: No. 123
Total DFT energy (no corrections) (hartree per atom): -0.2025
Density of states at the Fermi level (states/eV/f.u.): 7.338
Density (g/cm³): 3.613

Cell lengths 4.440, 5.392, 5.392 Å; angles 90.00, 90.00, 90.00 degrees
Sites, in units of the cell vectors:
1 Fe 0.500 0.500 0.500
2 Cr 0.000 0.000 0.000
3 Ca 0.000 0.500 0.000
4 Nb 0.500 0.000 0.000
5 Ca 0.000 0.000 0.500

---

Record 15
Compound: Ca2CrFeO5
Source: Alexandria
Functional: GGA-PBEsol
Structure: optimized geometry

Properties
E_form (uncorrected) (eV per atom): -2.24
Symmetry: No. 62
Total DFT energy (no corrections) (hartree per atom): -0.2852
Density of states at the Fermi level (states/eV/f.u.): 5.070
Density (g/cm³): 4.159

Cell lengths 5.304, 5.491, 14.699 Å; angles 90.00, 90.00, 90.00 degrees
Sites, in units of the cell vectors:
1 Ca 0.482 0.022 0.891
2 O 0.763 0.263 0.016
3 O 0.979 0.936 0.365
4 O 0.021 0.064 0.635
5 O 0.521 0.436 0.865
6 O 0.586 0.894 0.750
7 O 0.914 0.394 0.250
8 Cr 0.500 0.500 0.000
9 O 0.737 0.763 0.516
10 O 0.086 0.606 0.750
11 O 0.521 0.436 0.635
12 Ca 0.518 0.978 0.109
13 O 0.737 0.763 0.984
14 O 0.414 0.106 0.250
15 Ca 0.518 0.978 0.391
16 O 0.263 0.237 0.016
17 Fe 0.048 0.066 0.250
18 O 0.237 0.737 0.516
19 Ca 0.018 0.522 0.391
20 O 0.263 0.237 0.484
21 Fe 0.548 0.434 0.250
22 Fe 0.452 0.566 0.750
23 O 0.237 0.737 0.984
24 O 0.479 0.564 0.365
25 Cr 0.500 0.500 0.500
26 O 0.763 0.263 0.484
27 O 0.979 0.936 0.135
28 Fe 0.952 0.934 0.750
29 Ca 0.982 0.478 0.609
30 O 0.021 0.064 0.865
31 Ca 0.018 0.522 0.109
32 Ca 0.982 0.478 0.891
33 Ca 0.482 0.022 0.609
34 Cr 0.000 0.000 0.500
35 Cr 0.000 0.000 0.000
36 O 0.479 0.564 0.135

---

Record 16
Compound: CaCr3Ge
Source: Alexandria
Functional: GGA-PBEsol
Structure: optimized geometry

Properties
Symmetry: No. 221
Total DFT energy (no corrections) (hartree per atom): -0.1931
Density of states at the Fermi level (states/eV/f.u.): 5.553
Density (g/cm³): 4.540

Cell lengths 4.615, 4.615, 4.615 Å; angles 90.00, 90.00, 90.00 degrees
Sites, in units of the cell vectors:
1 Ge 0.500 0.500 0.500
2 Cr 0.000 0.000 0.500
3 Cr 0.000 0.500 0.000
4 Cr 0.500 0.000 0.000
5 Ca 0.000 0.000 0.000

---

Record 17
Compound: CaCrH2O5
Source: Alexandria
Functional: GGA-PBEsol
Structure: optimized geometry

Properties
Symmetry: No. 61
Total DFT energy (no corrections) (hartree per atom): -0.2555
Density of states at the Fermi level (states/eV/f.u.): 0.000
Density (g/cm³): 2.890

Cell lengths 7.883, 8.053, 12.604 Å; angles 90.00, 90.00, 90.00 degrees
Sites, in units of the cell vectors:
1 H 0.936 0.832 0.033
2 O 0.209 0.049 0.514
3 H 0.477 0.328 0.147
4 O 0.993 0.719 0.404
5 O 0.291 0.951 0.014
6 Cr 0.130 0.378 0.124
7 Cr 0.370 0.878 0.124
8 H 0.977 0.172 0.853
9 H 0.936 0.668 0.533
10 Ca 0.766 0.091 0.168
11 H 0.023 0.672 0.647
12 Cr 0.870 0.878 0.376
13 O 0.091 0.161 0.889
14 O 0.475 0.023 0.189
15 O 0.525 0.977 0.811
16 Ca 0.234 0.909 0.832
17 Cr 0.630 0.122 0.876
18 Cr 0.630 0.378 0.376
19 O 0.787 0.321 0.296
20 H 0.564 0.168 0.533
21 H 0.977 0.328 0.353
22 O 0.591 0.161 0.611
23 O 0.713 0.821 0.296
24 Ca 0.734 0.591 0.168
25 Ca 0.734 0.909 0.668
26 Cr 0.370 0.622 0.624
27 O 0.493 0.719 0.096
28 O 0.709 0.049 0.986
29 O 0.909 0.839 0.111
30 O 0.025 0.977 0.689
31 Cr 0.130 0.122 0.624
32 O 0.475 0.477 0.689
33 O 0.493 0.781 0.596
34 O 0.409 0.839 0.389
35 O 0.525 0.523 0.311
36 O 0.007 0.281 0.596
37 O 0.713 0.679 0.796
38 O 0.213 0.679 0.704
39 H 0.064 0.332 0.467
40 Ca 0.266 0.409 0.832
41 H 0.477 0.172 0.647
42 O 0.791 0.549 0.986
43 H 0.064 0.168 0.967
44 O 0.975 0.023 0.311
45 O 0.209 0.451 0.014
46 Ca 0.766 0.409 0.668
47 H 0.023 0.828 0.147
48 O 0.787 0.179 0.796
49 O 0.025 0.523 0.189
50 H 0.436 0.668 0.967
51 O 0.287 0.321 0.204
52 O 0.287 0.179 0.704
53 H 0.523 0.828 0.353
54 O 0.591 0.339 0.111
55 Ca 0.234 0.591 0.332
56 H 0.564 0.332 0.033
57 O 0.291 0.549 0.514
58 O 0.993 0.781 0.904
59 H 0.436 0.832 0.467
60 O 0.791 0.951 0.486
61 Ca 0.266 0.091 0.332
62 O 0.213 0.821 0.204
63 Cr 0.870 0.622 0.876
64 H 0.523 0.672 0.853
65 O 0.507 0.219 0.404
66 O 0.909 0.661 0.611
67 O 0.091 0.339 0.389
68 O 0.409 0.661 0.889
69 O 0.007 0.219 0.096
70 O 0.709 0.451 0.486
71 O 0.507 0.281 0.904
72 O 0.975 0.477 0.811

---

Record 18
Compound: CaCrSiH2
Source: Alexandria
Functional: GGA-PBEsol
Structure: optimized geometry

Properties
Symmetry: No. 123
Total DFT energy (no corrections) (hartree per atom): -0.1407
Density of states at the Fermi level (states/eV/f.u.): 3.288
Density (g/cm³): 2.295

Cell lengths 3.899, 3.899, 5.816 Å; angles 90.00, 90.00, 90.00 degrees
Sites, in units of the cell vectors:
1 Ca 0.000 0.000 0.500
2 Si 0.000 0.000 0.000
3 Cr 0.500 0.500 0.500
4 H 0.000 0.500 0.000
5 H 0.500 0.000 0.000

---

Record 19
Compound: CaHf3Cr
Source: Alexandria
Functional: GGA-PBEsol
Structure: optimized geometry

Properties
Symmetry: No. 221
Total DFT energy (no corrections) (hartree per atom): -0.2463
Density of states at the Fermi level (states/eV/f.u.): 6.390
Density (g/cm³): 8.893

Cell lengths 4.893, 4.893, 4.893 Å; angles 90.00, 90.00, 90.00 degrees
Sites, in units of the cell vectors:
1 Hf 0.000 0.000 0.500
2 Hf 0.500 0.000 0.000
3 Cr 0.500 0.500 0.500
4 Hf 0.000 0.500 0.000
5 Ca 0.000 0.000 0.000

---

Record 20
Compound: Ca3HfCr
Source: Alexandria
Functional: GGA-PBEsol
Structure: optimized geometry

Properties
Symmetry: No. 221
Total DFT energy (no corrections) (hartree per atom): -0.1576
Density of states at the Fermi level (states/eV/f.u.): 5.462
Density (g/cm³): 3.713

Cell lengths 5.393, 5.393, 5.393 Å; angles 90.00, 90.00, 90.00 degrees
Sites, in units of the cell vectors:
1 Ca 0.000 0.000 0.500
2 Hf 0.500 0.500 0.500
3 Ca 0.500 0.000 0.000
4 Cr 0.000 0.000 0.000
5 Ca 0.000 0.500 0.000